[1]
# TaTcAs2 (PBE, optimized geometry)
data_TaTcAs2
_chemical_formula_sum 'Ta2 Tc2 As4'
_space_group_name_H-M_alt 'I m m 2'
_space_group_IT_number 44
_space_group_name_Hall 'I 2 -2'
_cell_length_a 3.410
_cell_length_b 3.455
_cell_length_c 11.384
_cell_angle_alpha 90.00
_cell_angle_beta 90.00
_cell_angle_gamma 90.00
loop_
_atom_site_label
_atom_site_type_symbol
_atom_site_fract_x
_atom_site_fract_y
_atom_site_fract_z
_atom_site_occupancy
Ta1 Ta 0.000 0.000 0.000 1
Tc1 Tc 0.000 0.500 0.249 1
As1 As 0.000 0.000 0.415 1
As2 As 0.000 0.500 0.674 1
# * spin magnetization: 0.1508 μB/atom
# * E above lowest polymorph: 0 meV/atom
# * formation enthalpy at 0 K: -26 kJ/mol of atoms

=====

[2]
# TaTcAs2 (PBE, optimized geometry)
data_TaTcAs2
_chemical_formula_sum 'Ta1 Tc1 As2'
_space_group_name_H-M_alt 'P 4 m m'
_space_group_IT_number 99
_space_group_name_Hall 'P 4 -2'
_cell_length_a 3.305
_cell_length_b 3.305
_cell_length_c 5.951
_cell_angle_alpha 90.00
_cell_angle_beta 90.00
_cell_angle_gamma 90.00
loop_
_atom_site_label
_atom_site_type_symbol
_atom_site_fract_x
_atom_site_fract_y
_atom_site_fract_z
_atom_site_occupancy
Ta1 Ta 0.000 0.000 0.000 1
Tc1 Tc 0.500 0.500 0.319 1
As1 As 0.000 0.000 0.505 1
As2 As 0.500 0.500 0.813 1
# * spin magnetization: 0.0000 μB/atom
# * E above lowest polymorph: 37 meV/atom
# * formation enthalpy at 0 K: -23 kJ/mol of atoms

=====

[3]
# TaTcAs (PBE, optimized geometry)
data_TaTcAs
_chemical_formula_sum 'Ta4 Tc4 As4'
_space_group_name_H-M_alt 'F -4 3 m'
_space_group_IT_number 216
_space_group_name_Hall 'F -4 2 3'
_cell_length_a 6.029
_cell_length_b 6.029
_cell_length_c 6.029
_cell_angle_alpha 90.00
_cell_angle_beta 90.00
_cell_angle_gamma 90.00
loop_
_atom_site_label
_atom_site_type_symbol
_atom_site_fract_x
_atom_site_fract_y
_atom_site_fract_z
_atom_site_occupancy
Ta1 Ta 0.000 0.000 0.000 1
Tc1 Tc 0.250 0.250 0.750 1
As1 As 0.000 0.000 0.500 1
# * spin magnetization: 0.0000 μB/atom
# * E above lowest polymorph: 153 meV/atom
# * formation enthalpy at 0 K: -4 kJ/mol of atoms

=====

[4]
# TaTc3As (PBE, optimized geometry)
data_TaTc3As
_chemical_formula_sum 'Ta1 Tc3 As1'
_space_group_name_H-M_alt 'P m -3 m'
_space_group_IT_number 221
_space_group_name_Hall '-P 4 2 3'
_cell_length_a 4.469
_cell_length_b 4.469
_cell_length_c 4.469
_cell_angle_alpha 90.00
_cell_angle_beta 90.00
_cell_angle_gamma 90.00
loop_
_atom_site_label
_atom_site_type_symbol
_atom_site_fract_x
_atom_site_fract_y
_atom_site_fract_z
_atom_site_occupancy
Ta1 Ta 0.000 0.000 0.000 1
Tc1 Tc 0.000 0.500 0.500 1
As1 As 0.500 0.500 0.500 1
# * spin magnetization: 0.0000 μB/atom
# * E above lowest polymorph: 0 meV/atom
# * formation enthalpy at 0 K: 81 kJ/mol of atoms

=====

[5]
# TaTcAs (PBE, optimized geometry)
data_TaTcAs
_chemical_formula_sum 'Ta1 Tc1 As1'
_space_group_name_H-M_alt 'P 3 m 1'
_space_group_IT_number 156
_space_group_name_Hall 'P 3 -2"'
_cell_length_a 2.9929
_cell_length_b 2.9929
_cell_length_c 6.2962
_cell_angle_alpha 90.00
_cell_angle_beta 90.00
_cell_angle_gamma 120.00
loop_
_atom_site_label
_atom_site_type_symbol
_atom_site_fract_x
_atom_site_fract_y
_atom_site_fract_z
_atom_site_occupancy
Ta1 Ta 0.0000 0.0000 0.0000 1
Tc1 Tc 0.3333 0.6667 0.3499 1
As1 As 0.6667 0.3333 0.6511 1
# * spin magnetization: 0.0000 μB/atom
# * E above lowest polymorph: 243 meV/atom
# * formation enthalpy at 0 K: 4 kJ/mol of atoms

=====

[6]
# TaTc3As (PBE, optimized geometry)
data_TaTc3As
_chemical_formula_sum 'Ta1 Tc3 As1'
_space_group_name_H-M_alt 'P m -3 m'
_space_group_IT_number 221
_space_group_name_Hall '-P 4 2 3'
_cell_length_a 4.753
_cell_length_b 4.753
_cell_length_c 4.753
_cell_angle_alpha 90.00
_cell_angle_beta 90.00
_cell_angle_gamma 90.00
loop_
_atom_site_label
_atom_site_type_symbol
_atom_site_fract_x
_atom_site_fract_y
_atom_site_fract_z
_atom_site_occupancy
Ta1 Ta 0.000 0.000 0.000 1
Tc1 Tc 0.000 0.000 0.500 1
As1 As 0.500 0.500 0.500 1
# * spin magnetization: 0.5247 μB/atom
# * E above lowest polymorph: 961 meV/atom
# * formation enthalpy at 0 K: 174 kJ/mol of atoms

=====

[7]
# Ta2TcAs2 (PBE, optimized geometry)
data_Ta2TcAs2
_chemical_formula_sum 'Ta4 Tc2 As4'
_space_group_name_H-M_alt 'I 4/m m m'
_space_group_IT_number 139
_space_group_name_Hall '-I 4 2'
_cell_length_a 3.501
_cell_length_b 3.501
_cell_length_c 14.314
_cell_angle_alpha 90.00
_cell_angle_beta 90.00
_cell_angle_gamma 90.00
loop_
_atom_site_label
_atom_site_type_symbol
_atom_site_fract_x
_atom_site_fract_y
_atom_site_fract_z
_atom_site_occupancy
Ta1 Ta 0.000 0.000 0.106 1
Tc1 Tc 0.000 0.000 0.500 1
As1 As 0.000 0.500 0.250 1
# * spin magnetization: 0.0000 μB/atom
# * E above lowest polymorph: 281 meV/atom
# * formation enthalpy at 0 K: 18 kJ/mol of atoms

=====

[8]
# TaTcAs4 (PBE, optimized geometry)
data_TaTcAs4
_chemical_formula_sum 'Ta4 Tc4 As16'
_space_group_name_H-M_alt 'F -4 3 m'
_space_group_IT_number 216
_space_group_name_Hall 'F -4 2 3'
_cell_length_a 7.512
_cell_length_b 7.512
_cell_length_c 7.512
_cell_angle_alpha 90.00
_cell_angle_beta 90.00
_cell_angle_gamma 90.00
loop_
_atom_site_label
_atom_site_type_symbol
_atom_site_fract_x
_atom_site_fract_y
_atom_site_fract_z
_atom_site_occupancy
Ta1 Ta 0.000 0.000 0.000 1
Tc1 Tc 0.250 0.250 0.750 1
As1 As 0.125 0.125 0.375 1
# * spin magnetization: 0.0728 μB/atom
# * formation enthalpy at 0 K: 82 kJ/mol of atoms

=====

[9]
# Ta3TcAs (PBE, optimized geometry)
data_Ta3TcAs
_chemical_formula_sum 'Ta3 Tc1 As1'
_space_group_name_H-M_alt 'P m -3 m'
_space_group_IT_number 221
_space_group_name_Hall '-P 4 2 3'
_cell_length_a 4.809
_cell_length_b 4.809
_cell_length_c 4.809
_cell_angle_alpha 90.00
_cell_angle_beta 90.00
_cell_angle_gamma 90.00
loop_
_atom_site_label
_atom_site_type_symbol
_atom_site_fract_x
_atom_site_fract_y
_atom_site_fract_z
_atom_site_occupancy
Ta1 Ta 0.000 0.000 0.500 1
Tc1 Tc 0.000 0.000 0.000 1
As1 As 0.500 0.500 0.500 1
# * spin magnetization: 0.0000 μB/atom
# * E above lowest polymorph: 32 meV/atom
# * formation enthalpy at 0 K: 110 kJ/mol of atoms

=====

[10]
# Ta4TcAs (PBE, optimized geometry)
data_Ta4TcAs
_chemical_formula_sum 'Ta16 Tc4 As4'
_space_group_name_H-M_alt 'F -4 3 m'
_space_group_IT_number 216
_space_group_name_Hall 'F -4 2 3'
_cell_length_a 7.603
_cell_length_b 7.603
_cell_length_c 7.603
_cell_angle_alpha 90.00
_cell_angle_beta 90.00
_cell_angle_gamma 90.00
loop_
_atom_site_label
_atom_site_type_symbol
_atom_site_fract_x
_atom_site_fract_y
_atom_site_fract_z
_atom_site_occupancy
Ta1 Ta 0.125 0.125 0.125 1
Tc1 Tc 0.250 0.250 0.750 1
As1 As 0.000 0.000 0.500 1
# * spin magnetization: 0.0000 μB/atom
# * formation enthalpy at 0 K: 49 kJ/mol of atoms

=====

[11]
# TaTcAs2 (PBE, optimized geometry)
data_TaTcAs2
_chemical_formula_sum 'Ta1 Tc1 As2'
_space_group_name_H-M_alt 'P 4/m m m'
_space_group_IT_number 123
_space_group_name_Hall '-P 4 2'
_cell_length_a 4.462
_cell_length_b 4.462
_cell_length_c 3.137
_cell_angle_alpha 90.00
_cell_angle_beta 90.00
_cell_angle_gamma 90.00
loop_
_atom_site_label
_atom_site_type_symbol
_atom_site_fract_x
_atom_site_fract_y
_atom_site_fract_z
_atom_site_occupancy
Ta1 Ta 0.000 0.000 0.000 1
Tc1 Tc 0.500 0.500 0.000 1
As1 As 0.000 0.500 0.500 1
# * spin magnetization: 0.0000 μB/atom
# * E above lowest polymorph: 119 meV/atom
# * formation enthalpy at 0 K: -15 kJ/mol of atoms

=====

[12]
# Ta3TcAs (PBE, optimized geometry)
data_Ta3TcAs
_chemical_formula_sum 'Ta3 Tc1 As1'
_space_group_name_H-M_alt 'P m -3 m'
_space_group_IT_number 221
_space_group_name_Hall '-P 4 2 3'
_cell_length_a 4.663
_cell_length_b 4.663
_cell_length_c 4.663
_cell_angle_alpha 90.00
_cell_angle_beta 90.00
_cell_angle_gamma 90.00
loop_
_atom_site_label
_atom_site_type_symbol
_atom_site_fract_x
_atom_site_fract_y
_atom_site_fract_z
_atom_site_occupancy
Ta1 Ta 0.000 0.000 0.500 1
Tc1 Tc 0.500 0.500 0.500 1
As1 As 0.000 0.000 0.000 1
# * spin magnetization: 0.1665 μB/atom
# * E above lowest polymorph: 0 meV/atom
# * formation enthalpy at 0 K: 107 kJ/mol of atoms

=====

[13]
# TaTcAs2 (PBE, optimized geometry)
data_TaTcAs2
_chemical_formula_sum 'Ta1 Tc1 As2'
_space_group_name_H-M_alt 'P m m 2'
_space_group_IT_number 25
_space_group_name_Hall 'P 2 -2'
_cell_length_a 3.115
_cell_length_b 4.737
_cell_length_c 4.394
_cell_angle_alpha 90.00
_cell_angle_beta 90.00
_cell_angle_gamma 90.00
loop_
_atom_site_label
_atom_site_type_symbol
_atom_site_fract_x
_atom_site_fract_y
_atom_site_fract_z
_atom_site_occupancy
Ta1 Ta 0.000 0.000 0.000 1
Tc1 Tc 0.500 0.500 0.762 1
As1 As 0.000 0.500 0.272 1
As2 As 0.500 0.000 0.511 1
# * spin magnetization: 0.0000 μB/atom
# * E above lowest polymorph: 123 meV/atom
# * formation enthalpy at 0 K: -15 kJ/mol of atoms

=====

[14]
# TaTcAs2 (PBE, optimized geometry)
data_TaTcAs2
_chemical_formula_sum 'Ta3 Tc3 As6'
_space_group_name_H-M_alt 'R 3 m'
_space_group_IT_number 160
_space_group_name_Hall 'R 3 -2"'
_cell_length_a 3.1492
_cell_length_b 3.1492
_cell_length_c 24.3637
_cell_angle_alpha 90.00
_cell_angle_beta 90.00
_cell_angle_gamma 120.00
loop_
_atom_site_label
_atom_site_type_symbol
_atom_site_fract_x
_atom_site_fract_y
_atom_site_fract_z
_atom_site_occupancy
Ta1 Ta 0.0000 0.0000 0.0000 1
Tc1 Tc 0.0000 0.0000 0.7521 1
As1 As 0.0000 0.0000 0.2533 1
As2 As 0.0000 0.0000 0.4902 1
# * spin magnetization: 0.0000 μB/atom
# * E above lowest polymorph: 222 meV/atom
# * formation enthalpy at 0 K: -5 kJ/mol of atoms